(1)
! DyTmInCo GGA-PBE optimized geometry; values from VASP
! DOS(E_F)	0.53	states/eV per atom
! energy of formation from the pure elements	-0.209	eV/atom
&SYSTEM
  ibrav = 0, nat = 16, ntyp = 4
/
ATOMIC_SPECIES
Dy 162.50 Dy.upf
Tm 168.93 Tm.upf
In 114.82 In.upf
Co 58.93 Co.upf
CELL_PARAMETERS angstrom
7.140 0.000 0.000
0.000 7.140 0.000
0.000 0.000 7.140
ATOMIC_POSITIONS angstrom
Dy 0.000 0.000 0.000
Dy 0.000 3.570 3.570
Dy 3.570 0.000 3.570
Dy 3.570 3.570 0.000
Tm 0.000 0.000 3.570
Tm 0.000 3.570 0.000
Tm 3.570 0.000 0.000
Tm 3.570 3.570 3.570
In 1.785 1.785 5.355
In 1.785 5.355 1.785
In 5.355 1.785 1.785
In 5.355 5.355 5.355
Co 1.785 1.785 1.785
Co 1.785 5.355 5.355
Co 5.355 1.785 5.355
Co 5.355 5.355 1.785

(2)
! TlNi2Pt GGA-PBE optimized geometry; values from VASP
! DOS(E_F)	1.05	states/eV per atom
! energy of formation from the pure elements	0.145	eV/atom
&SYSTEM
  ibrav = 0, nat = 8, ntyp = 3
/
ATOMIC_SPECIES
Tl 204.38 Tl.upf
Ni 58.69 Ni.upf
Pt 195.08 Pt.upf
CELL_PARAMETERS angstrom
9.011 0.000 0.000
0.000 3.032 0.000
-1.133 0.000 4.392
ATOMIC_POSITIONS angstrom
Tl 0.000 0.000 0.000
Tl 4.506 1.516 0.000
Ni -0.481 1.516 2.274
Ni 1.365 0.000 3.348
Ni 4.025 0.000 2.274
Ni 5.871 1.516 3.348
Pt 2.032 1.516 1.337
Pt 6.538 0.000 1.337

(3)
! Ho8CuTe4S3 GGA-PBE optimized geometry; values from VASP
! formation energy (no corrections)	-1.411	eV/atom
! DOS(E_F)	0.46	states/eV per atom
&SYSTEM
  ibrav = 0, nat = 16, ntyp = 4
/
ATOMIC_SPECIES
Ho 164.93 Ho.upf
Cu 63.55 Cu.upf
Te 127.60 Te.upf
S 32.06 S.upf
CELL_PARAMETERS angstrom
4.082 2.356 6.947
-4.082 2.356 6.947
0.000 -4.713 6.947
ATOMIC_POSITIONS angstrom
Ho 0.000 0.000 4.890
Ho -2.019 -1.165 11.883
Ho 0.000 -2.331 8.959
Ho -2.019 1.165 8.959
Ho 2.019 -1.165 11.883
Ho 0.000 2.331 11.883
Ho 2.019 1.165 8.959
Ho 0.000 0.000 15.951
Cu 0.000 0.000 10.421
Te 0.000 0.000 0.000
Te -2.041 -1.178 6.947
Te -2.041 1.178 13.894
Te 0.000 2.356 6.947
S -4.082 0.000 10.421
S -2.041 1.178 3.474
S 2.041 1.178 3.474

(4)
! Ba2YSb GGA-PBE optimized geometry; values from VASP
! formation energy (no corrections)	-0.284	eV/atom
! DOS(E_F)	1.53	states/eV per atom
&SYSTEM
  ibrav = 0, nat = 8, ntyp = 3
/
ATOMIC_SPECIES
Ba 137.33 Ba.upf
Y 88.91 Y.upf
Sb 121.76 Sb.upf
CELL_PARAMETERS angstrom
4.509 0.000 0.000
0.000 5.189 0.000
0.000 0.000 13.055
ATOMIC_POSITIONS angstrom
Ba 0.000 0.000 2.730
Ba 0.000 0.000 10.326
Ba 2.255 2.594 3.798
Ba 2.255 2.594 9.257
Y 0.000 2.594 0.000
Y 2.255 0.000 6.528
Sb 0.000 2.594 6.528
Sb 2.255 0.000 0.000

(5)
! Zr2InSb GGA-PBE optimized geometry; values from VASP
! formation energy (no corrections)	-0.246	eV/atom
! DOS(E_F)	0.96	states/eV per atom
&SYSTEM
  ibrav = 0, nat = 16, ntyp = 3
/
ATOMIC_SPECIES
Zr 91.22 Zr.upf
In 114.82 In.upf
Sb 121.76 Sb.upf
CELL_PARAMETERS angstrom
7.129 0.000 0.000
0.000 7.129 0.000
0.000 0.000 7.129
ATOMIC_POSITIONS angstrom
Zr 1.782 1.782 1.782
Zr 1.782 1.782 5.347
Zr 1.782 5.347 1.782
Zr 1.782 5.347 5.347
Zr 5.347 1.782 1.782
Zr 5.347 1.782 5.347
Zr 5.347 5.347 1.782
Zr 5.347 5.347 5.347
In 0.000 0.000 0.000
In 0.000 3.564 3.564
In 3.564 0.000 3.564
In 3.564 3.564 0.000
Sb 0.000 0.000 3.564
Sb 0.000 3.564 0.000
Sb 3.564 0.000 0.000
Sb 3.564 3.564 3.564

(6)
! Pr7Ge2N2 GGA-PBE optimized geometry; values from VASP
! formation energy (no corrections)	-0.565	eV/atom
! DOS(E_F)	0.85	states/eV per atom
&SYSTEM
  ibrav = 0, nat = 11, ntyp = 3
/
ATOMIC_SPECIES
Pr 140.91 Pr.upf
Ge 72.64 Ge.upf
N 14.01 N.upf
CELL_PARAMETERS angstrom
5.789 -3.762 0.000
5.789 3.762 0.000
-0.573 0.000 6.495
ATOMIC_POSITIONS angstrom
Pr 0.000 0.000 0.000
Pr 2.816 1.638 4.956
Pr 4.919 0.000 1.471
Pr 2.816 -1.638 4.956
Pr 8.190 1.638 1.539
Pr 6.087 0.000 5.024
Pr 8.190 -1.638 1.539
Ge 5.503 2.495 3.247
Ge 5.503 -2.495 3.247
N 2.620 0.000 0.228
N 8.386 0.000 6.266

(7)
! ZrCuTe2I GGA-PBE optimized geometry; values from VASP
! formation energy (no corrections)	0.385	eV/atom
! DOS(E_F)	1.19	states/eV per atom
&SYSTEM
  ibrav = 0, nat = 5, ntyp = 4
/
ATOMIC_SPECIES
Zr 91.22 Zr.upf
Cu 63.55 Cu.upf
Te 127.60 Te.upf
I 126.90 I.upf
CELL_PARAMETERS angstrom
5.174 0.000 0.000
0.000 5.174 0.000
0.000 0.000 5.164
ATOMIC_POSITIONS angstrom
Zr 0.000 0.000 0.000
Cu 2.587 2.587 2.582
Te 0.000 2.587 2.582
Te 2.587 0.000 2.582
I 2.587 2.587 0.000

(8)
! Sm2Mn2Fe15 GGA-PBE optimized geometry; values from VASP
! DOS(E_F)	1.29	states/eV per atom
! energy of formation from the pure elements	0.054	eV/atom
&SYSTEM
  ibrav = 0, nat = 19, ntyp = 3
/
ATOMIC_SPECIES
Sm 150.36 Sm.upf
Mn 54.94 Mn.upf
Fe 55.84 Fe.upf
CELL_PARAMETERS angstrom
4.236 2.446 4.152
-4.236 2.446 4.152
0.000 -4.891 4.152
ATOMIC_POSITIONS angstrom
Sm 0.000 0.000 1.961
Sm 0.000 0.000 10.494
Mn 0.000 0.000 4.990
Mn 0.000 0.000 7.465
Fe -2.118 -1.223 4.152
Fe 0.000 -2.447 4.032
Fe -2.119 1.223 4.032
Fe -1.227 -2.126 6.228
Fe -2.455 0.000 6.228
Fe -2.119 -1.223 8.423
Fe -2.118 1.223 8.303
Fe 1.227 -2.126 6.228
Fe 0.000 2.446 4.152
Fe -1.227 2.126 6.228
Fe 2.119 1.223 4.032
Fe 2.455 0.000 6.228
Fe 1.227 2.126 6.228
Fe 2.119 -1.223 8.423
Fe 0.000 2.447 8.423

(9)
! La2V2Ag GGA-PBE optimized geometry; values from VASP
! DOS(E_F)	1.36	states/eV per atom
! energy of formation from the pure elements	0.625	eV/atom
&SYSTEM
  ibrav = 0, nat = 10, ntyp = 3
/
ATOMIC_SPECIES
La 138.91 La.upf
V 50.94 V.upf
Ag 107.87 Ag.upf
CELL_PARAMETERS angstrom
8.956 0.000 0.000
0.000 8.956 0.000
0.000 0.000 3.235
ATOMIC_POSITIONS angstrom
La 1.861 2.617 0.000
La 2.617 7.095 0.000
La 6.339 1.861 0.000
La 7.095 6.339 0.000
V 0.686 5.164 1.618
V 3.792 0.686 1.618
V 5.164 8.270 1.618
V 8.270 3.792 1.618
Ag 0.000 0.000 0.000
Ag 4.478 4.478 0.000

(10)
! AgSI GGA-PBE optimized geometry; values from VASP
! formation energy (no corrections)	0.053	eV/atom
&SYSTEM
  ibrav = 0, nat = 12, ntyp = 3
/
ATOMIC_SPECIES
Ag 107.87 Ag.upf
S 32.06 S.upf
I 126.90 I.upf
CELL_PARAMETERS angstrom
4.530 0.000 0.000
0.000 10.157 0.000
0.000 0.000 8.044
ATOMIC_POSITIONS angstrom
Ag 0.000 2.304 2.011
Ag 0.000 7.853 6.033
Ag 2.265 2.775 6.033
Ag 2.265 7.382 2.011
S 0.000 1.768 6.033
S 0.000 8.389 2.011
S 2.265 3.311 2.011
S 2.265 6.846 6.033
I 0.000 0.000 0.000
I 0.000 0.000 4.022
I 2.265 5.078 0.000
I 2.265 5.078 4.022

(11)
! PmBe17Ru GGA-PBE optimized geometry; values from VASP
! DOS(E_F)	0.38	states/eV per atom
! energy of formation from the pure elements	-0.064	eV/atom
&SYSTEM
  ibrav = 0, nat = 19, ntyp = 3
/
ATOMIC_SPECIES
Pm 145.00 Pm.upf
Be 9.01 Be.upf
Ru 101.07 Ru.upf
CELL_PARAMETERS angstrom
3.775 2.180 3.654
-3.775 2.180 3.654
0.000 -4.359 3.654
ATOMIC_POSITIONS angstrom
Pm 0.000 0.000 0.000
Be -1.145 -1.865 3.768
Be -2.188 -0.059 3.768
Be -1.769 -1.021 5.753
Be 0.000 0.000 2.762
Be 0.000 -2.213 5.586
Be -1.916 1.106 5.586
Be 1.145 -1.865 3.768
Be -1.043 1.924 3.768
Be 0.000 0.000 4.862
Be -1.833 -1.059 9.106
Be 2.188 -0.059 3.768
Be 1.043 1.924 3.768
Be 1.769 -1.021 5.753
Be 0.000 2.043 5.753
Be 1.916 1.106 5.586
Be 1.833 -1.059 9.106
Be 0.000 2.117 9.106
Ru 0.000 0.000 7.301

(12)
! AlCo2BRu GGA-PBE optimized geometry; values from VASP
! DOS(E_F)	0.88	states/eV per atom
! energy of formation from the pure elements	-0.236	eV/atom
&SYSTEM
  ibrav = 0, nat = 5, ntyp = 4
/
ATOMIC_SPECIES
Al 26.98 Al.upf
Co 58.93 Co.upf
B 10.81 B.upf
Ru 101.07 Ru.upf
CELL_PARAMETERS angstrom
3.787 0.000 0.000
0.000 3.787 0.000
0.000 0.000 4.034
ATOMIC_POSITIONS angstrom
Al 0.000 0.000 0.000
Co 0.000 1.893 2.017
Co 1.893 0.000 2.017
B 1.893 1.893 2.017
Ru 1.893 1.893 0.000